Below is a relaxed Pm2Si4NiPt3 crystal, with properties calculated at the GGA-PBE level.

abc: 4.2100 4.2100 9.8441
angles: 90.00 90.00 90.00
Closest atoms and distances in Å follow each position.
Element x y z (fractional)
Pm  0.5000  0.0000  0.2513  8 Si 3.21-3.25, 6 Pt 3.23, 2 Ni 3.23
Pm  0.0000  0.5000  0.7487  8 Si 3.21-3.25, 6 Pt 3.23, 2 Ni 3.23
Si  0.5000  0.5000  0.0000  4 Pt 2.44
Si  0.0000  0.0000  0.0000  4 Pt 2.44
Si  0.5000  0.0000  0.6259  2 Ni 2.44, 3 Pt 2.44-2.45
Si  0.0000  0.5000  0.3741  2 Ni 2.44, 3 Pt 2.44-2.45
Ni  0.5000  0.5000  0.5000  4 Si 2.44
Pt  0.0000  0.0000  0.5000  4 Si 2.44
Pt  0.5000  0.0000  0.8751  5 Si 2.44-2.45
Pt  0.0000  0.5000  0.1249  5 Si 2.44-2.45

## Properties
Size of the total moment: 0.0 μB/f.u.
Density of states at the Fermi level: 0.57 states/eV/atom
Formation energy without anion corrections: -100.9 kJ per mole of atoms